# 1
! GGA-PBE DyScRuAu, optimized geometry; values from VASP
&SYSTEM
  ibrav = 0, nat = 4, ntyp = 4
/
ATOMIC_SPECIES
Dy 162.50 Dy.upf
Ru 101.07 Ru.upf
Sc 44.96 Sc.upf
Au 196.97 Au.upf
ATOMIC_POSITIONS crystal
Dy 0.250 0.250 0.250
Ru 0.500 0.500 0.500
Sc 0.750 0.750 0.750
Au 0.000 0.000 0.000
CELL_PARAMETERS angstrom
-4.412 1.261 1.469
-3.426 -3.352 0.490
-1.528 -1.259 4.393
! Symmetry: No. 216
! Total DFT energy (no corrections): -25.9 eV for the cell shown
! Energy of formation from the pure elements: -0.5970 eV/atom


# 2
! GGA-PBE TaB2W, optimized geometry; values from VASP
&SYSTEM
  ibrav = 0, nat = 8, ntyp = 3
/
ATOMIC_SPECIES
B 10.81 B.upf
W 183.84 W.upf
Ta 180.95 Ta.upf
ATOMIC_POSITIONS crystal
B 0.109 0.625 0.250
W 0.750 0.250 0.500
B 0.375 0.359 0.750
B 0.641 0.125 0.250
B 0.875 0.891 0.750
W 0.000 0.000 0.000
Ta 0.500 0.500 0.000
Ta 0.250 0.750 0.500
CELL_PARAMETERS angstrom
-2.104 0.322 -4.443
-3.575 -3.055 1.471
-5.500 2.488 0.053
! Symmetry: No. 122
! Total DFT energy (no corrections): -70.7 eV for the cell shown
! Energy of formation from the pure elements: 0.7051 eV/atom


# 3
! GGA-PBE MgSiSe2, optimized geometry; values from VASP
&SYSTEM
  ibrav = 0, nat = 4, ntyp = 3
/
ATOMIC_SPECIES
Si 28.09 Si.upf
Se 78.96 Se.upf
Mg 24.30 Mg.upf
ATOMIC_POSITIONS crystal
Si 0.750 0.750 0.750
Se 0.250 0.250 0.250
Se 0.000 0.000 0.000
Mg 0.500 0.500 0.500
CELL_PARAMETERS angstrom
4.843 0.000 0.000
2.422 4.194 0.000
2.422 1.398 3.954
! Symmetry: No. 216
! Total DFT energy (no corrections): -12.9 eV for the cell shown


# 4
! GGA-PBE PmY2Cu3, optimized geometry; values from VASP
&SYSTEM
  ibrav = 0, nat = 6, ntyp = 3
/
ATOMIC_SPECIES
Pm 145.00 Pm.upf
Y 88.91 Y.upf
Cu 63.55 Cu.upf
ATOMIC_POSITIONS crystal
Pm 0.500 0.500 0.500
Y 0.500 0.500 0.836
Cu 0.000 0.000 0.324
Y 0.500 0.500 0.164
Cu 0.000 0.000 0.000
Cu 0.000 0.000 0.676
CELL_PARAMETERS angstrom
-0.181 -0.608 -3.439
-0.667 -3.374 0.632
-10.379 2.086 0.177
! Symmetry: No. 123
! Total DFT energy (no corrections): -31.3 eV for the cell shown
! Energy of formation from the pure elements: -0.2190 eV/atom


# 5
! GGA-PBE GaPb3, optimized geometry; values from VASP
&SYSTEM
  ibrav = 0, nat = 4, ntyp = 2
/
ATOMIC_SPECIES
Pb 207.20 Pb.upf
Ga 69.72 Ga.upf
ATOMIC_POSITIONS crystal
Pb 0.500 0.000 0.500
Pb 0.000 0.500 0.500
Ga 0.000 0.000 0.000
Pb 0.500 0.500 0.000
CELL_PARAMETERS angstrom
-0.436 4.477 1.884
0.462 -1.844 4.491
4.835 0.580 -0.259
! Symmetry: No. 221
! Total DFT energy (no corrections): -13.9 eV for the cell shown
! Energy of formation from the pure elements: 0.0524 eV/atom


# 6
! GGA-PBE Pr8Mg3Os2, optimized geometry; values from VASP
&SYSTEM
  ibrav = 0, nat = 13, ntyp = 3
/
ATOMIC_SPECIES
Pr 140.91 Pr.upf
Mg 24.30 Mg.upf
Os 190.23 Os.upf
ATOMIC_POSITIONS crystal
Pr 0.753 0.891 0.345
Mg 0.500 0.000 0.000
Pr 0.738 0.427 0.855
Pr 0.247 0.546 0.655
Mg 0.000 0.821 0.000
Mg 0.000 0.179 0.000
Pr 0.241 0.167 0.333
Pr 0.759 0.833 0.667
Pr 0.753 0.454 0.345
Pr 0.262 0.573 0.145
Os 0.775 0.273 0.546
Pr 0.247 0.109 0.655
Os 0.225 0.727 0.454
CELL_PARAMETERS angstrom
-4.179 -2.386 -1.445
3.310 -1.174 -7.633
2.255 -7.213 6.711
! Symmetry: No. 12
! Total DFT energy (no corrections): -64.7 eV for the cell shown
! Energy of formation from the pure elements: 0.0608 eV/atom


# 7
! GGA-PBE YReRh2, optimized geometry; values from VASP
&SYSTEM
  ibrav = 0, nat = 4, ntyp = 3
/
ATOMIC_SPECIES
Y 88.91 Y.upf
Rh 102.91 Rh.upf
Re 186.21 Re.upf
ATOMIC_POSITIONS crystal
Y 0.502 0.502 0.502
Rh 0.002 0.002 0.002
Re 0.741 0.741 0.741
Rh 0.254 0.254 0.254
CELL_PARAMETERS angstrom
-7.979 -1.245 4.982
-6.080 -1.247 7.177
-7.112 1.265 6.153
! Symmetry: No. 160
! Total DFT energy (no corrections): -32.4 eV for the cell shown
! Energy of formation from the pure elements: 0.2963 eV/atom


# 8
! GGA-PBE Tm6Tl5Sn, optimized geometry; values from VASP
&SYSTEM
  ibrav = 0, nat = 12, ntyp = 3
/
ATOMIC_SPECIES
Tl 204.38 Tl.upf
Tm 168.93 Tm.upf
Sn 118.71 Sn.upf
ATOMIC_POSITIONS crystal
Tl 0.500 0.500 0.000
Tl 0.000 0.333 0.333
Tm 0.750 0.084 0.331
Tm 0.251 0.246 0.000
Tm 0.750 0.415 0.669
Tm 0.250 0.585 0.331
Tl 0.000 0.667 0.667
Tm 0.250 0.916 0.669
Tm 0.749 0.754 0.000
Tl 0.500 0.832 0.336
Sn 0.000 0.000 0.000
Tl 0.500 0.168 0.664
CELL_PARAMETERS angstrom
9.755 -0.890 0.000
1.883 6.133 0.000
0.941 3.066 5.478
! Symmetry: No. 12
! Total DFT energy (no corrections): -46.1 eV for the cell shown
! Energy of formation from the pure elements: -0.2834 eV/atom


# 9
! GGA-PBE PmHfCoNi, optimized geometry; values from VASP
&SYSTEM
  ibrav = 0, nat = 4, ntyp = 4
/
ATOMIC_SPECIES
Co 58.93 Co.upf
Ni 58.69 Ni.upf
Hf 178.49 Hf.upf
Pm 145.00 Pm.upf
ATOMIC_POSITIONS crystal
Co 0.750 0.750 0.750
Ni 0.250 0.250 0.250
Hf 0.000 0.000 0.000
Pm 0.500 0.500 0.500
CELL_PARAMETERS angstrom
4.675 0.000 0.000
2.338 4.049 0.000
2.338 1.350 3.817
! Symmetry: No. 216
! Total DFT energy (no corrections): -28.2 eV for the cell shown
! Energy of formation from the pure elements: -0.1416 eV/atom


# 10
! GGA-PBE Pm2TmP3Rh12, optimized geometry; values from VASP
&SYSTEM
  ibrav = 0, nat = 18, ntyp = 4
/
ATOMIC_SPECIES
Rh 102.91 Rh.upf
P 30.97 P.upf
Pm 145.00 Pm.upf
Tm 168.93 Tm.upf
ATOMIC_POSITIONS crystal
Rh 0.634 0.634 0.089
Rh 0.177 0.177 0.666
P 0.500 0.000 0.000
Rh 0.634 0.089 0.634
Pm 0.373 0.373 0.373
Pm 0.627 0.627 0.627
Rh 0.366 0.911 0.366
P 0.000 0.500 0.000
Tm 0.000 0.000 0.000
Rh 0.823 0.334 0.823
Rh 0.334 0.823 0.823
P 0.000 0.000 0.500
Rh 0.089 0.634 0.634
Rh 0.177 0.666 0.177
Rh 0.823 0.823 0.334
Rh 0.911 0.366 0.366
Rh 0.366 0.366 0.911
Rh 0.666 0.177 0.177
CELL_PARAMETERS angstrom
6.512 -1.415 -1.004
1.985 6.361 -1.004
1.985 1.156 6.336
! Symmetry: No. 166
! Total DFT energy (no corrections): -124.9 eV for the cell shown
! Energy of formation from the pure elements: -0.3622 eV/atom


# 11
! GGA-PBE ZnGa2AsSe, optimized geometry; values from VASP
&SYSTEM
  ibrav = 0, nat = 5, ntyp = 4
/
ATOMIC_SPECIES
Zn 65.41 Zn.upf
Ga 69.72 Ga.upf
Se 78.96 Se.upf
As 74.92 As.upf
ATOMIC_POSITIONS crystal
Zn 0.500 0.500 0.500
Ga 0.500 0.000 0.000
Se 0.000 0.500 0.000
Ga 0.000 0.000 0.500
As 0.000 0.000 0.000
CELL_PARAMETERS angstrom
-2.346 0.384 -4.488
-3.059 -4.055 1.252
-3.387 3.186 2.043
! Symmetry: No. 123
! Total DFT energy (no corrections): -13.7 eV for the cell shown


# 12
! GGA-PBE La3B5C2, optimized geometry; values from VASP
&SYSTEM
  ibrav = 0, nat = 20, ntyp = 3
/
ATOMIC_SPECIES
La 138.91 La.upf
B 10.81 B.upf
C 12.01 C.upf
ATOMIC_POSITIONS crystal
La 0.750 0.000 0.000
La 0.173 0.197 0.458
B 0.932 0.818 0.818
B 0.750 0.500 0.500
La 0.327 0.542 0.803
C 0.355 0.140 0.150
B 0.145 0.624 0.086
B 0.355 0.914 0.376
La 0.250 0.000 0.000
B 0.432 0.818 0.818
B 0.068 0.182 0.182
B 0.645 0.086 0.624
C 0.645 0.860 0.850
La 0.827 0.803 0.542
La 0.673 0.458 0.197
C 0.145 0.850 0.860
C 0.855 0.150 0.140
B 0.855 0.376 0.914
B 0.568 0.182 0.182
B 0.250 0.500 0.500
CELL_PARAMETERS angstrom
-3.413 4.454 1.531
-1.260 -0.219 8.879
3.645 4.164 7.060
! Symmetry: No. 72
! Total DFT energy (no corrections): -127.4 eV for the cell shown
! Energy of formation from the pure elements: 0.2925 eV/atom